ZrCr2AgSb after structural relaxation, computed with GGA-PBE.

Unit cell a=5.0544 b=5.0544 c=5.4014 alpha=90.00 beta=90.00 gamma=90.00
Closest atoms and distances in Å follow each position.
Atoms (fractional coordinates):
Zr  0.0000  0.0000  0.0000  2 Sb 2.70
Cr  0.0000  0.5000  0.5000  2 Sb 2.53
Cr  0.5000  0.0000  0.5000  2 Sb 2.53
Ag  0.5000  0.5000  0.0000  4 Zr 3.57, 8 Cr 3.70
Sb  0.0000  0.0000  0.5000  4 Cr 2.53, 2 Zr 2.70

Values from the calculation:
Its space group is P4/mmm. As for the uncorrected formation energy: 1.10 eV/atom. The value obtained for the energy above the most stable polymorph in this dataset is 0 meV/atom. The total magnetic moment comes out at 8.08 μB/cell. For the uncorrected energy, the calculation gives -5.85 eV per atom.

=====

ZrCr2AgSb after structural relaxation, computed with GGA-PBE.

Unit cell a=5.0188 b=5.0188 c=5.2246 alpha=90.00 beta=90.00 gamma=90.00
Closest atoms and distances in Å follow each position.
Atoms (fractional coordinates):
Zr  0.0000  0.0000  0.0000  4 Sb 3.55, 8 Cr 3.62
Cr  0.0000  0.5000  0.5000  2 Ag 2.51
Cr  0.5000  0.0000  0.5000  2 Ag 2.51
Ag  0.5000  0.5000  0.5000  4 Cr 2.51, 2 Sb 2.61
Sb  0.5000  0.5000  0.0000  2 Ag 2.61

Values from the calculation:
Its space group is P4/mmm. As for the uncorrected formation energy: 1.18 eV/atom. The value obtained for the energy above the most stable polymorph in this dataset is 84 meV/atom. The total magnetic moment comes out at 7.56 μB/cell. For the uncorrected energy, the calculation gives -5.77 eV per atom.

=====

ScCr2Ag after structural relaxation, computed with GGA-PBE.

Unit cell a=4.9119 b=4.9119 c=4.9119 alpha=132.53 beta=126.36 gamma=74.40
Closest atoms and distances in Å follow each position.
Atoms (fractional coordinates):
Sc  0.0000  0.0000  0.0000  8 Cr 2.83-2.98, 4 Ag 2.87-2.88
Cr  0.2592  0.7592  0.5000  2 Cr 2.57, 2 Sc 2.83
Cr  0.4698  0.4698  0.0000  2 Cr 2.57, 4 Ag 2.86-2.88
Ag  0.7347  0.2347  0.5000  8 Cr 2.86-2.98, 4 Sc 2.87-2.88

Values from the calculation:
Its space group is Imm2. The value obtained for the energy above the most stable polymorph in this dataset is 88 meV/atom. For the formation energy, the calculation gives 0.240 eV/atom. The total magnetic moment comes out at 0.31 μB/cell. For the uncorrected energy, the calculation gives -6.87 eV per atom.

=====

ScCr2Ag after structural relaxation, computed with GGA-PBE.

Unit cell a=2.6502 b=2.6502 c=8.7716 alpha=90.00 beta=90.00 gamma=90.00
Closest atoms and distances in Å follow each position.
Atoms (fractional coordinates):
Sc  0.0000  0.0000  0.0000  4 Sc 2.65, 8 Cr 2.91
Cr  0.5000  0.5000  0.2544  4 Cr 2.65, 4 Ag 2.86, 4 Sc 2.91
Cr  0.5000  0.5000  0.7456  4 Cr 2.65, 4 Ag 2.86, 4 Sc 2.91
Ag  0.0000  0.0000  0.5000  4 Ag 2.65, 8 Cr 2.86

Values from the calculation:
Its space group is P4/mmm. The value obtained for the energy above the most stable polymorph in this dataset is 452 meV/atom. For the formation energy, the calculation gives 0.604 eV/atom. The total magnetic moment comes out at 0.00 μB/cell. For the uncorrected energy, the calculation gives -6.50 eV per atom.

=====

Sc2CrAg after structural relaxation, computed with GGA-PBE.

Unit cell a=4.7881 b=4.7881 c=4.7881 alpha=60.00 beta=60.00 gamma=60.00
Closest atoms and distances in Å follow each position.
Atoms (fractional coordinates):
Sc  0.0000  0.0000  0.0000  4 Cr 2.93, 4 Sc 2.93
Sc  0.2500  0.2500  0.2500  4 Ag 2.93, 4 Sc 2.93
Cr  0.7500  0.7500  0.7500  4 Ag 2.93, 4 Sc 2.93
Ag  0.5000  0.5000  0.5000  4 Sc 2.93, 4 Cr 2.93

Values from the calculation:
Its space group is F-43m. For the formation energy, the calculation gives 0.185 eV/atom. The total magnetic moment comes out at 4.66 μB/cell. For the uncorrected energy, the calculation gives -6.10 eV per atom.

=====

ScCr2Ag after structural relaxation, computed with GGA-PBE.

Unit cell a=3.4118 b=3.4118 c=6.2525 alpha=90.00 beta=90.00 gamma=90.00
Closest atoms and distances in Å follow each position.
Atoms (fractional coordinates):
Sc  0.0000  0.0000  0.0000  8 Cr 2.91, 2 Ag 3.13
Cr  0.5000  0.5000  0.2593  4 Ag 2.84, 4 Sc 2.91, 1 Cr 3.01
Cr  0.5000  0.5000  0.7407  4 Ag 2.84, 4 Sc 2.91, 1 Cr 3.01
Ag  0.0000  0.0000  0.5000  8 Cr 2.84, 2 Sc 3.13

Values from the calculation:
Its space group is P4/mmm. The value obtained for the energy above the most stable polymorph in this dataset is 312 meV/atom. For the formation energy, the calculation gives 0.464 eV/atom. The total magnetic moment comes out at 7.75 μB/cell. For the uncorrected energy, the calculation gives -6.64 eV per atom.

=====

ScCr2Ag after structural relaxation, computed with GGA-PBE.

Unit cell a=4.6406 b=4.6406 c=4.6406 alpha=60.00 beta=60.00 gamma=60.00
Closest atoms and distances in Å follow each position.
Atoms (fractional coordinates):
Sc  0.0000  0.0000  0.0000  8 Cr 2.84
Cr  0.2500  0.2500  0.2500  4 Sc 2.84, 4 Ag 2.84
Cr  0.7500  0.7500  0.7500  4 Sc 2.84, 4 Ag 2.84
Ag  0.5000  0.5000  0.5000  8 Cr 2.84

Values from the calculation:
Its space group is Fm-3m. The value obtained for the energy above the most stable polymorph in this dataset is 316 meV/atom. For the formation energy, the calculation gives 0.468 eV/atom. The total magnetic moment comes out at 7.88 μB/cell. For the uncorrected energy, the calculation gives -6.64 eV per atom.

=====

Sc2Cr2Ag after structural relaxation, computed with GGA-PBE.

Unit cell a=7.2402 b=7.2402 c=3.4016 alpha=90.00 beta=90.00 gamma=90.00
Closest atoms and distances in Å follow each position.
Atoms (fractional coordinates):
Sc  0.1957  0.3043  0.0000  6 Cr 2.76-2.79
Sc  0.3043  0.8043  0.0000  6 Cr 2.76-2.79
Sc  0.6957  0.1957  0.0000  6 Cr 2.76-2.79
Sc  0.8043  0.6957  0.0000  6 Cr 2.76-2.79
Cr  0.0926  0.5926  0.5000  1 Cr 1.90
Cr  0.4074  0.0926  0.5000  1 Cr 1.90
Cr  0.5926  0.9074  0.5000  1 Cr 1.90
Cr  0.9074  0.4074  0.5000  1 Cr 1.90
Ag  0.0000  0.0000  0.5000  4 Cr 3.02, 8 Sc 3.12
Ag  0.5000  0.5000  0.5000  4 Cr 3.02, 8 Sc 3.12

Values from the calculation:
Its space group is P4/mbm. For the formation energy, the calculation gives 0.220 eV/atom. The total magnetic moment comes out at 0.00 μB/cell. For the uncorrected energy, the calculation gives -6.73 eV per atom.

=====

ScCrAg3 after structural relaxation, computed with GGA-PBE.

Unit cell a=4.9052 b=4.9052 c=4.9052 alpha=90.00 beta=90.00 gamma=90.00
Closest atoms and distances in Å follow each position.
Atoms (fractional coordinates):
Sc  0.0000  0.0000  0.0000  12 Ag 3.47
Cr  0.5000  0.5000  0.5000  6 Ag 2.45
Ag  0.0000  0.5000  0.5000  2 Cr 2.45
Ag  0.5000  0.0000  0.5000  2 Cr 2.45
Ag  0.5000  0.5000  0.0000  2 Cr 2.45

Values from the calculation:
Its space group is Pm-3m. The value obtained for the energy above the most stable polymorph in this dataset is 0 meV/atom. For the formation energy, the calculation gives 0.793 eV/atom. The total magnetic moment comes out at 3.42 μB/cell. For the uncorrected energy, the calculation gives -4.11 eV per atom.

=====

ScCr2Ag after structural relaxation, computed with GGA-PBE.

Unit cell a=2.8561 b=4.6904 c=4.9431 alpha=90.00 beta=95.94 gamma=90.00
Closest atoms and distances in Å follow each position.
Atoms (fractional coordinates):
Sc  0.0000  0.0000  0.0000  4 Ag 2.72-2.98, 4 Cr 2.75, 2 Sc 2.86
Cr  0.3359  0.5000  0.8045  1 Cr 2.06
Cr  0.6641  0.5000  0.1955  1 Cr 2.06
Ag  0.5000  0.0000  0.5000  4 Sc 2.72-2.98, 4 Cr 2.85, 2 Ag 2.86

Values from the calculation:
Its space group is P2/m. The value obtained for the energy above the most stable polymorph in this dataset is 341 meV/atom. For the formation energy, the calculation gives 0.493 eV/atom. The total magnetic moment comes out at 1.41 μB/cell. For the uncorrected energy, the calculation gives -6.61 eV per atom.

=====

ScCrAg3 after structural relaxation, computed with GGA-PBE.

Unit cell a=5.0810 b=5.0810 c=5.0810 alpha=90.00 beta=90.00 gamma=90.00
Closest atoms and distances in Å follow each position.
Atoms (fractional coordinates):
Sc  0.0000  0.0000  0.0000  6 Ag 2.54
Cr  0.5000  0.5000  0.5000  12 Ag 3.59
Ag  0.0000  0.0000  0.5000  2 Sc 2.54
Ag  0.0000  0.5000  0.0000  2 Sc 2.54
Ag  0.5000  0.0000  0.0000  2 Sc 2.54

Values from the calculation:
Its space group is Pm-3m. The value obtained for the energy above the most stable polymorph in this dataset is 353 meV/atom. For the formation energy, the calculation gives 1.146 eV/atom. The total magnetic moment comes out at 4.60 μB/cell. For the uncorrected energy, the calculation gives -3.76 eV per atom.

=====

ScCr2Ag after structural relaxation, computed with GGA-PBE.

Unit cell a=5.2567 b=5.2567 c=5.2567 alpha=143.28 beta=133.30 gamma=60.83
Closest atoms and distances in Å follow each position.
Atoms (fractional coordinates):
Sc  0.0000  0.0000  0.0000  4 Ag 2.66, 4 Cr 2.81
Cr  0.2502  0.7502  0.5000  4 Cr 2.66, 2 Ag 2.81, 2 Sc 2.81
Cr  0.7498  0.2498  0.5000  4 Cr 2.66, 2 Ag 2.81, 2 Sc 2.81
Ag  0.5000  0.5000  0.0000  4 Sc 2.66, 4 Cr 2.81

Values from the calculation:
Its space group is Immm. The value obtained for the energy above the most stable polymorph in this dataset is 381 meV/atom. For the formation energy, the calculation gives 0.534 eV/atom. The total magnetic moment comes out at 1.27 μB/cell. For the uncorrected energy, the calculation gives -6.57 eV per atom.

=====

ScCrAg after structural relaxation, computed with GGA-PBE.

Unit cell a=4.5482 b=4.5482 c=4.5482 alpha=60.00 beta=60.00 gamma=60.00
Closest atoms and distances in Å follow each position.
Atoms (fractional coordinates):
Sc  0.0000  0.0000  0.0000  4 Cr 2.79, 4 Ag 2.79
Cr  0.7500  0.7500  0.7500  4 Sc 2.79
Ag  0.2500  0.2500  0.2500  4 Sc 2.79

Values from the calculation:
Its space group is F-43m. The value obtained for the energy above the most stable polymorph in this dataset is 534 meV/atom. For the formation energy, the calculation gives 0.743 eV/atom. The total magnetic moment comes out at 4.12 μB/cell. For the uncorrected energy, the calculation gives -5.53 eV per atom.

=====

ScCr2Ag after structural relaxation, computed with GGA-PBE.

Unit cell a=2.7925 b=2.7925 c=8.7032 alpha=90.00 beta=90.00 gamma=112.52
Closest atoms and distances in Å follow each position.
Atoms (fractional coordinates):
Sc  0.0000  0.0000  0.0000  2 Cr 2.73, 4 Sc 2.79, 2 Ag 2.97
Cr  0.0000  0.0000  0.5586  2 Cr 2.23
Cr  0.5000  0.5000  0.7420  2 Cr 2.23
Ag  0.5000  0.5000  0.2912  6 Ag 2.79-3.10, 2 Cr 2.80, 2 Sc 2.97

Values from the calculation:
Its space group is Cmm2. The value obtained for the energy above the most stable polymorph in this dataset is 175 meV/atom. For the formation energy, the calculation gives 0.327 eV/atom. The total magnetic moment comes out at 0.00 μB/cell. For the uncorrected energy, the calculation gives -6.78 eV per atom.

=====

ScCrAg4 after structural relaxation, computed with GGA-PBE.

Unit cell a=5.4713 b=5.4713 c=5.4713 alpha=60.00 beta=60.00 gamma=60.00
Closest atoms and distances in Å follow each position.
Atoms (fractional coordinates):
Sc  0.0000  0.0000  0.0000  12 Ag 3.21, 4 Cr 3.35
Cr  0.2500  0.2500  0.2500  12 Ag 3.21, 4 Sc 3.35
Ag  0.1256  0.6248  0.6248  6 Ag 2.73-2.74
Ag  0.6248  0.1256  0.6248  6 Ag 2.73-2.74
Ag  0.6248  0.6248  0.1256  6 Ag 2.73-2.74
Ag  0.6248  0.6248  0.6248  6 Ag 2.73-2.74

Values from the calculation:
Its space group is F-43m. For the formation energy, the calculation gives 0.165 eV/atom. The total magnetic moment comes out at 5.30 μB/cell. For the uncorrected energy, the calculation gives -4.39 eV per atom.